[1]
Computed, not measured: a relaxed structure of Cu3Si at the PBE level of DFT.

Values from the calculation:
Raw formation energy in eV/atom: 0.143
DOS at the Fermi energy in states/eV/cell: 2.5
Space group: Cmcm (63)

a b c (Å): 5.2126 5.2126 4.0230
angles (deg): 90.00 90.00 92.63
Closest atoms and distances in Å follow each position.
Fractional positions:
Cu 0.9022 0.0979 0.2500  1 Si 2.32, 8 Cu 2.49-2.54
Cu 0.3716 0.9838 0.2500  6 Cu 2.42-2.56, 1 Si 2.44
Cu 0.6284 0.0162 0.7500  6 Cu 2.42-2.56, 1 Si 2.44
Cu 0.9838 0.3716 0.7500  6 Cu 2.42-2.56, 1 Si 2.44
Cu 0.0979 0.9022 0.7500  1 Si 2.32, 8 Cu 2.49-2.54
Cu 0.0162 0.6284 0.2500  6 Cu 2.42-2.56, 1 Si 2.44
Si 0.5942 0.4058 0.2500  3 Cu 2.32-2.44, 2 Si 2.46
Si 0.4058 0.5942 0.7500  3 Cu 2.32-2.44, 2 Si 2.46

***

[2]
Computed, not measured: a relaxed structure of Hf2HgSb2 at the PBE level of DFT.

Values from the calculation:
Raw formation energy in eV/atom: -0.122
DOS at the Fermi energy in states/eV/cell: 4.6
Relative energy among the computed polymorphs in meV/atom: 206
Space group: P4/mbm (127)

a b c (Å): 8.1010 8.1010 3.6607
angles (deg): 90.00 90.00 90.00
Closest atoms and distances in Å follow each position.
Fractional positions:
Sb 0.1522 0.3478 0.0000  6 Hf 2.98-3.03, 2 Hg 3.08
Sb 0.6522 0.1522 0.0000  6 Hf 2.98-3.03, 2 Hg 3.08
Sb 0.3478 0.8478 0.0000  6 Hf 2.98-3.03, 2 Hg 3.08
Sb 0.8478 0.6522 0.0000  6 Hf 2.98-3.03, 2 Hg 3.08
Hg 0.0000 0.0000 0.0000  4 Sb 3.08
Hg 0.5000 0.5000 0.0000  4 Sb 3.08
Hf 0.1372 0.6372 0.5000  6 Sb 2.98-3.03, 1 Hf 3.14
Hf 0.3628 0.1372 0.5000  6 Sb 2.98-3.03, 1 Hf 3.14
Hf 0.6372 0.8628 0.5000  6 Sb 2.98-3.03, 1 Hf 3.14
Hf 0.8628 0.3628 0.5000  6 Sb 2.98-3.03, 1 Hf 3.14

***

[3]
Computed, not measured: a relaxed structure of Sm2ThTl3 at the PBE level of DFT.

Values from the calculation:
DOS at the Fermi energy in states/eV/cell: 5.7
Space group: P4/mmm (123)
ΔH_f (0 K) in eV per atom: -0.296

a b c (Å): 3.6050 3.6050 13.2878
angles (deg): 90.00 90.00 90.00
Closest atoms and distances in Å follow each position.
Fractional positions:
Th 0.5000 0.5000 0.5000  8 Tl 3.41, 4 Th 3.61
Sm 0.5000 0.5000 0.1639  8 Tl 3.35-3.36, 4 Sm 3.61
Sm 0.5000 0.5000 0.8361  8 Tl 3.35-3.36, 4 Sm 3.61
Tl 0.0000 0.0000 0.0000  8 Sm 3.35, 4 Tl 3.61
Tl 0.0000 0.0000 0.6709  4 Sm 3.36, 4 Th 3.41, 4 Tl 3.61
Tl 0.0000 0.0000 0.3291  4 Sm 3.36, 4 Th 3.41, 4 Tl 3.61

***

[4]
Computed, not measured: a relaxed structure of BiSbC at the PBE level of DFT.

Values from the calculation:
Raw formation energy in eV/atom: 0.743
DOS at the Fermi energy in states/eV/cell: 0.6
Relative energy among the computed polymorphs in meV/atom: 0
Space group: P1 (1)

a b c (Å): 3.4300 3.4301 7.0774
angles (deg): 87.70 87.35 60.04
Closest atoms and distances in Å follow each position.
Fractional positions:
Bi 0.3446 0.3037 0.6937  1 C 2.33
C 0.3708 0.3208 0.3643  3 Sb 2.23, 1 Bi 2.33
Sb 0.0477 0.9942 0.2206  3 C 2.23

***

[5]
Computed, not measured: a relaxed structure of P2C at the PBE level of DFT.

Values from the calculation:
DOS at the Fermi energy in states/eV/cell: 2.7
Relative energy among the computed polymorphs in meV/atom: 259
Space group: P-3m1 (164)
ΔH_f (0 K) in eV per atom: 0.689

a b c (Å): 2.8274 2.8274 19.5640
angles (deg): 90.00 90.00 120.00
Closest atoms and distances in Å follow each position.
Fractional positions:
P 0.6667 0.3333 0.4352  3 C 2.07
P 0.6667 0.3333 0.2599  1 C 1.85
P 0.3333 0.6667 0.5648  3 C 2.07
P 0.0000 0.0000 0.1203  3 C 1.86
P 0.0000 0.0000 0.8797  3 C 1.86
P 0.3333 0.6667 0.7401  1 C 1.85
C 0.3333 0.6667 0.8346  4 P 1.85-1.86
C 0.6667 0.3333 0.1654  4 P 1.85-1.86
C 0.0000 0.0000 0.5000  6 P 2.07

***

[6]
Computed, not measured: a relaxed structure of LaScOs2 at the PBE level of DFT.

Values from the calculation:
DOS at the Fermi energy in states/eV/cell: 3.2
Relative energy among the computed polymorphs in meV/atom: 186
Space group: C2/m (12)
ΔH_f (0 K) in eV per atom: 0.233

a b c (Å): 4.5602 4.5602 6.2308
angles (deg): 84.74 84.74 39.80
Closest atoms and distances in Å follow each position.
Fractional positions:
Os 0.4897 0.4897 0.5681  3 Sc 2.60-2.73, 2 Os 2.77
Os 0.0103 0.0103 0.9319  3 Sc 2.60-2.73, 2 Os 2.77
La 0.2500 0.2500 0.2500  6 Os 2.99-3.23, 2 La 3.10
Sc 0.7500 0.7500 0.7500  6 Os 2.60-2.73

***

[7]
Computed, not measured: a relaxed structure of Tm5Ni4Ag at the PBE level of DFT.

Values from the calculation:
DOS at the Fermi energy in states/eV/cell: 9.3
Space group: P4/mmm (123)
ΔH_f (0 K) in eV per atom: -0.424

a b c (Å): 3.3568 3.3568 17.1816
angles (deg): 90.00 90.00 90.00
Closest atoms and distances in Å follow each position.
Fractional positions:
Ni 0.0000 0.0000 0.4043  8 Tm 2.89-2.90
Ni 0.0000 0.0000 0.7903  8 Tm 2.86-2.91
Ni 0.0000 0.0000 0.5957  8 Tm 2.89-2.90
Ni 0.0000 0.0000 0.2097  8 Tm 2.86-2.91
Tm 0.5000 0.5000 0.8832  4 Ni 2.86, 4 Ag 3.11
Tm 0.5000 0.5000 0.1168  4 Ni 2.86, 4 Ag 3.11
Tm 0.5000 0.5000 0.5000  8 Ni 2.89
Tm 0.5000 0.5000 0.3077  8 Ni 2.90-2.91
Tm 0.5000 0.5000 0.6923  8 Ni 2.90-2.91
Ag 0.0000 0.0000 0.0000  8 Tm 3.11, 4 Ag 3.36

***

[8]
Computed, not measured: a relaxed structure of NpCoC at the PBE level of DFT.

Values from the calculation:
DOS at the Fermi energy in states/eV/cell: 4.6
Relative energy among the computed polymorphs in meV/atom: 492
Space group: I4mm (107)
ΔH_f (0 K) in eV per atom: 0.547

a b c (Å): 2.6158 2.6158 5.4851
angles (deg): 103.79 103.79 90.00
Closest atoms and distances in Å follow each position.
Fractional positions:
C 0.9908 0.9908 0.9816  4 Co 1.99
Np 0.2966 0.2966 0.5932  4 Np 2.62, 4 C 2.73, 1 Co 2.75
Co 0.5626 0.5626 0.1252  4 C 1.99

***

[9]
Computed, not measured: a relaxed structure of BeHgRh2 at the PBE level of DFT.

Values from the calculation:
DOS at the Fermi energy in states/eV/cell: 5.1
Relative energy among the computed polymorphs in meV/atom: 231
Space group: Imm2 (44)
ΔH_f (0 K) in eV per atom: 0.080

a b c (Å): 5.1435 5.1435 5.1435
angles (deg): 146.59 129.11 62.25
Closest atoms and distances in Å follow each position.
Fractional positions:
Rh 0.7121 0.2121 0.5000  2 Be 2.28
Rh 0.9928 0.9928 0.0000  4 Be 2.67, 6 Rh 2.88-2.96, 4 Hg 2.90-2.93
Hg 0.2801 0.7801 0.5000  2 Be 2.54, 4 Rh 2.73
Be 0.5150 0.5150 0.0000  2 Rh 2.28, 2 Hg 2.54

***

[10]
Computed, not measured: a relaxed structure of Sr2AsO4F at the PBE level of DFT.

Values from the calculation:
Raw formation energy in eV/atom: -2.279
DOS at the Fermi energy in states/eV/cell: 0.0
Space group: C2/m (12)

a b c (Å): 3.2103 5.0652 7.9942
angles (deg): 81.29 78.42 71.52
Closest atoms and distances in Å follow each position.
Fractional positions:
F 0.5000 0.5000 0.5000  4 Sr 2.52
As 0.0000 0.0000 0.0000  2 O 1.76
O 0.1398 0.9384 0.7819  1 As 1.76
O 0.8602 0.0616 0.2181  1 As 1.76
O 0.6101 0.7345 0.0453  2 As 2.06
O 0.3899 0.2655 0.9547  2 As 2.06
Sr 0.8517 0.5545 0.7422  5 O 2.49-2.61, 2 F 2.52
Sr 0.1483 0.4455 0.2578  5 O 2.49-2.61, 2 F 2.52

***

[11]
Computed, not measured: a relaxed structure of Ba2HgGeS5 at the PBE level of DFT.

Values from the calculation:
Raw formation energy in eV/atom: -1.039
DOS at the Fermi energy in states/eV/cell: 4.1
Space group: Cmc2_1 (36)

a b c (Å): 4.0287 10.0923 12.3969
angles (deg): 90.00 90.00 101.51
Closest atoms and distances in Å follow each position.
Fractional positions:
S 0.9674 0.9349 0.5298  2 Ge 2.43
S 0.6706 0.3411 0.8869  1 Ge 2.20
S 0.6449 0.2898 0.4929  1 Hg 2.54
S 0.0326 0.0651 0.0298  2 Ge 2.43
S 0.3551 0.7102 0.9929  1 Hg 2.54
S 0.7106 0.4212 0.1765  2 Hg 2.63
S 0.3294 0.6589 0.3869  1 Ge 2.20
S 0.4924 0.9848 0.2759  1 Ge 2.22
S 0.2894 0.5788 0.6765  2 Hg 2.63
S 0.5076 0.0152 0.7759  1 Ge 2.22
Ba 0.8811 0.7621 0.8050  6 S 3.12-3.23
Ba 0.1189 0.2379 0.3050  6 S 3.12-3.23
Ba 0.1259 0.2517 0.6814  7 S 3.11-3.37
Ba 0.8741 0.7483 0.1814  7 S 3.11-3.37
Ge 0.4370 0.8739 0.4314  4 S 2.20-2.43
Ge 0.5630 0.1261 0.9314  4 S 2.20-2.43
Hg 0.2308 0.4616 0.0442  3 S 2.54-2.63
Hg 0.7692 0.5384 0.5442  3 S 2.54-2.63

***

[12]
Computed, not measured: a relaxed structure of TbNiBiPd at the PBE level of DFT.

Values from the calculation:
DOS at the Fermi energy in states/eV/cell: 2.8
Space group: F-43m (216)
ΔH_f (0 K) in eV per atom: -0.490

a b c (Å): 4.8214 4.8214 4.8214
angles (deg): 60.00 60.00 60.00
Closest atoms and distances in Å follow each position.
Fractional positions:
Pd 0.7500 0.7500 0.7500  4 Bi 2.95, 4 Tb 2.95
Ni 0.2500 0.2500 0.2500  4 Tb 2.95, 4 Bi 2.95
Bi 0.0000 0.0000 0.0000  4 Pd 2.95, 4 Ni 2.95
Tb 0.5000 0.5000 0.5000  4 Ni 2.95, 4 Pd 2.95